Material: BaZn2Ir
Method: DFT, PBE
State: optimized geometry

## Properties
Symmetry: R3m (160)

abc: 4.443 4.443 17.126
angles: 90.00 90.00 120.00
Sites, in units of the cell vectors:
1 Ba 0.000 0.000 0.000
2 Ba 0.333 0.667 0.667
3 Ba 0.667 0.333 0.333
4 Zn 0.000 0.000 0.186
5 Zn 0.000 0.000 0.481
6 Zn 0.333 0.667 0.148
7 Zn 0.333 0.667 0.853
8 Zn 0.667 0.333 0.520
9 Zn 0.667 0.333 0.814
10 Ir 0.000 0.000 0.809
11 Ir 0.333 0.667 0.476
12 Ir 0.667 0.333 0.143


Material: BaZn3Ir
Method: DFT, PBE
State: optimized geometry

## Properties
Symmetry: Pm-3m (221)
Energy above the most stable polymorph in this dataset: 14 meV/atom

abc: 4.927 4.927 4.927
angles: 90.00 90.00 90.00
Sites, in units of the cell vectors:
1 Ba 0.000 0.000 0.000
2 Zn 0.000 0.500 0.500
3 Zn 0.500 0.000 0.500
4 Zn 0.500 0.500 0.000
5 Ir 0.500 0.500 0.500


Material: BaZnIr
Method: DFT, PBE
State: optimized geometry

## Properties
Symmetry: P-6m2 (187)

abc: 4.373 4.373 4.704
angles: 90.00 90.00 120.00
Sites, in units of the cell vectors:
1 Ba 0.000 0.000 0.000
2 Zn 0.333 0.667 0.500
3 Ir 0.667 0.333 0.500


Material: Ba3Zn4Ir4
Method: DFT, PBE
State: optimized geometry

## Properties
Symmetry: I-43m (217)

abc: 6.928 6.928 6.928
angles: 109.47 109.47 109.47
Sites, in units of the cell vectors:
1 Ba 0.000 0.500 0.500
2 Ba 0.500 0.000 0.500
3 Ba 0.500 0.500 0.000
4 Zn 0.000 0.000 0.606
5 Zn 0.000 0.606 0.000
6 Zn 0.394 0.394 0.394
7 Zn 0.606 0.000 0.000
8 Ir 0.000 0.000 0.239
9 Ir 0.000 0.239 0.000
10 Ir 0.239 0.000 0.000
11 Ir 0.761 0.761 0.761


Material: BaZn2Ir2
Method: DFT, PBE
State: optimized geometry

## Properties
Symmetry: I4/mmm (139)
Energy above the most stable polymorph in this dataset: 0 meV/atom

abc: 4.485 4.485 10.332
angles: 90.00 90.00 90.00
Sites, in units of the cell vectors:
1 Ba 0.000 0.000 0.000
2 Ba 0.500 0.500 0.500
3 Zn 0.000 0.500 0.250
4 Zn 0.000 0.500 0.750
5 Zn 0.500 0.000 0.250
6 Zn 0.500 0.000 0.750
7 Ir 0.000 0.000 0.381
8 Ir 0.000 0.000 0.619
9 Ir 0.500 0.500 0.119
10 Ir 0.500 0.500 0.881


Material: Ba4ZnIr
Method: DFT, PBE
State: optimized geometry

## Properties
Symmetry: F-43m (216)

abc: 6.841 6.841 6.841
angles: 60.00 60.00 60.00
Sites, in units of the cell vectors:
1 Ba 0.124 0.124 0.124
2 Ba 0.124 0.124 0.628
3 Ba 0.124 0.628 0.124
4 Ba 0.628 0.124 0.124
5 Zn 0.500 0.500 0.500
6 Ir 0.750 0.750 0.750


Material: BaZn3Ir
Method: DFT, PBE
State: optimized geometry

## Properties
Symmetry: P2_1/c (14)
Energy above the most stable polymorph in this dataset: 173 meV/atom

abc: 7.559 6.598 10.287
angles: 90.00 113.32 90.00
Sites, in units of the cell vectors:
1 Ba 0.222 0.212 0.053
2 Ba 0.222 0.288 0.553
3 Ba 0.778 0.712 0.447
4 Ba 0.778 0.788 0.947
5 Zn 0.015 0.532 0.246
6 Zn 0.015 0.968 0.746
7 Zn 0.269 0.736 0.172
8 Zn 0.269 0.764 0.672
9 Zn 0.459 0.072 0.379
10 Zn 0.459 0.428 0.879
11 Zn 0.541 0.572 0.121
12 Zn 0.541 0.928 0.621
13 Zn 0.731 0.236 0.328
14 Zn 0.731 0.264 0.828
15 Zn 0.985 0.032 0.254
16 Zn 0.985 0.468 0.754
17 Ir 0.238 0.701 0.908
18 Ir 0.238 0.799 0.408
19 Ir 0.762 0.201 0.592
20 Ir 0.762 0.299 0.092


Material: Ba8ZnIr2
Method: DFT, PBE
State: optimized geometry

## Properties
Symmetry: P-1 (2)

abc: 6.591 10.176 10.179
angles: 60.03 89.99 90.00
Sites, in units of the cell vectors:
1 Ba 0.248 0.330 0.339
2 Ba 0.248 0.331 0.830
3 Ba 0.248 0.833 0.333
4 Ba 0.248 0.839 0.831
5 Ba 0.752 0.161 0.169
6 Ba 0.752 0.167 0.667
7 Ba 0.752 0.669 0.170
8 Ba 0.752 0.670 0.661
9 Zn 0.500 0.500 0.000
10 Ir 0.274 0.167 0.667
11 Ir 0.726 0.833 0.333


Energy relative to the elements for every record listed, in sequence, given in eV/atom: -0.26; -0.33; -0.16; -0.26; -0.19; 0.91; -0.17; 0.05.
Total magnetization for every record listed, in sequence, given in μB/atom: 0.0000; 0.0000; 0.0000; 0.0000; 0.0000; 0.0000; 0.0000; 0.0000.